Material: OsRh
Method: DFT, PBEsol
State: relaxed

abc: 9.786 2.700 4.697
angles: 90.00 118.04 90.00
Fractional coordinates of all 8 atoms:
Os  0.128  0.000  0.293
Os  0.372  0.500  0.707
Os  0.628  0.500  0.293
Os  0.872  0.000  0.707
Rh  0.122  0.500  0.791
Rh  0.378  0.000  0.209
Rh  0.622  0.000  0.791
Rh  0.878  0.500  0.209

Calculated values
The size of the total moment is 0.00 Bohr magnetons per cell. Its calculated formation energy is 0.049 eV per atom.

***

Material: OsRh
Method: DFT, PBEsol
State: relaxed

abc: 3.849 3.849 6.322
angles: 90.00 90.00 120.00
Fractional coordinates of all 4 atoms:
Os  0.333  0.667  0.000
Os  0.667  0.333  0.500
Rh  0.333  0.667  0.624
Rh  0.667  0.333  0.124

Calculated values
The size of the total moment is 0.00 Bohr magnetons per cell. Its calculated formation energy is 1.505 eV per atom.